# 1
InBrO3: relaxed, GGA-PBEsol.

Output
Magnetization, μB/atom: 0.803
Electronic total energy, eV/atom: -3.98

Lattice parameters (Å, degrees): 4.229 4.229 4.229 90.00 90.00 90.00
Space group Pm-3m (No. 221)
One atom of each set of equivalent atoms:
In1 0.000 0.000 0.000
Br1 0.500 0.500 0.500
O1 0.000 0.000 0.500

---

# 2
InPbBr2O: relaxed, GGA-PBEsol.

Output
Magnetization, μB/atom: 0.000
Electronic total energy, eV/atom: -3.47

Lattice parameters (Å, degrees): 5.978 5.978 3.781 90.00 90.00 90.00
Space group P4/mmm (No. 123)
One atom of each set of equivalent atoms:
In1 0.000 0.000 0.000
Pb1 0.500 0.500 0.000
Br1 0.000 0.500 0.500
O1 0.000 0.000 0.500

---

# 3
In2OsBr: relaxed, GGA-PBEsol.

Output
Magnetization, μB/atom: 0.000
E above lowest polymorph, eV/atom: 0.407

Lattice parameters (Å, degrees): 2.995 4.556 12.693 90.00 90.00 90.00
Space group Immm (No. 71)
One atom of each set of equivalent atoms:
In1 0.000 0.000 0.184
Os1 0.000 0.500 0.500
Br1 0.000 0.500 0.000